Entry 1:
Entry from the Alexandria database: a crystal of ScMnBe2Cd relaxed with PBEsol (SCAN).

Cell and atoms, written as extended XYZ:
```
5
Lattice="4.6170 0.0000 0.0000 0.0000 4.6170 0.0000 0.0000 0.0000 4.2068" Properties=species:S:1:pos:R:3 pbc="T T T"
Sc 0.0000 0.0000 0.0000
Mn 0.0000 0.0000 2.1034
Be 0.0000 2.3085 0.0000
Be 2.3085 0.0000 0.0000
Cd 2.3085 2.3085 2.1034
```

## Properties
- final energy (eV/atom) = -12.880
- spin magnetization (μB per formula unit) = 1.27
- density of states at the Fermi level (states/eV/atom) = 0.312

Entry 2:
Entry from the Alexandria database: a crystal of Sr2AsRh relaxed with PBEsol (SCAN).

Cell and atoms, written as extended XYZ:
```
8
Lattice="4.4843 0.0000 0.0000 0.0000 4.5971 0.0000 0.0000 0.0000 10.2614" Properties=species:S:1:pos:R:3 pbc="T T T"
Sr 0.0000 0.0000 0.0000
Sr 0.0000 2.2986 5.1307
Sr 2.2421 0.0000 2.9749
Sr 2.2421 2.2986 8.1056
As 0.0000 0.0000 7.1166
As 0.0000 2.2986 1.9859
Rh 2.2421 0.0000 6.1254
Rh 2.2421 2.2986 0.9946
```

## Properties
- final energy (eV/atom) = -25.450
- spin magnetization (μB per formula unit) = 0.00
- density of states at the Fermi level (states/eV/atom) = 0.379

Repeat the first record exactly.
Entry from the Alexandria database: a crystal of ScMnBe2Cd relaxed with PBEsol (SCAN).

Cell and atoms, written as extended XYZ:
```
5
Lattice="4.6170 0.0000 0.0000 0.0000 4.6170 0.0000 0.0000 0.0000 4.2068" Properties=species:S:1:pos:R:3 pbc="T T T"
Sc 0.0000 0.0000 0.0000
Mn 0.0000 0.0000 2.1034
Be 0.0000 2.3085 0.0000
Be 2.3085 0.0000 0.0000
Cd 2.3085 2.3085 2.1034
```

## Properties
- final energy (eV/atom) = -12.880
- spin magnetization (μB per formula unit) = 1.27
- density of states at the Fermi level (states/eV/atom) = 0.312